(1)
# Dy9ThSc2 (GGA-PBE, relaxed)
# * raw total energy: -60.9 eV for the cell shown
# * total magnetization: 0.00 μB/cell
# * D(E_F): 20.12 states/eV/cell
data_Dy9ThSc2
_cell_length_a 4.957
_cell_length_b 4.957
_cell_length_c 14.819
_cell_angle_alpha 90.00
_cell_angle_beta 90.00
_cell_angle_gamma 90.00
_space_group_name_H-M_alt 'P 4/m m m'
_space_group_IT_number 123
_space_group_name_Hall '-P 4 2'
loop_
_atom_site_label
_atom_site_type_symbol
_atom_site_fract_x
_atom_site_fract_y
_atom_site_fract_z
Dy1 Dy 0.000 0.000 0.000
Dy2 Dy 0.000 0.000 0.338
Dy3 Dy 0.000 0.500 0.170
Dy4 Dy 0.000 0.500 0.500
Th1 Th 0.500 0.500 0.000
Sc1 Sc 0.500 0.500 0.335


(2)
# Dy5Th2Sc2 (GGA-PBE, relaxed)
# * E above lowest polymorph: 98 meV per atom
# * total magnetization: 0.00 μB/cell
# * D(E_F): 58.41 states/eV/cell
data_Dy5Th2Sc2
_cell_length_a 15.967
_cell_length_b 6.062
_cell_length_c 11.471
_cell_angle_alpha 90.00
_cell_angle_beta 90.00
_cell_angle_gamma 90.00
_space_group_name_H-M_alt 'I m a 2'
_space_group_IT_number 46
_space_group_name_Hall 'I 2 -2a'
loop_
_atom_site_label
_atom_site_type_symbol
_atom_site_fract_x
_atom_site_fract_y
_atom_site_fract_z
Dy1 Dy 0.052 0.249 0.000
Dy2 Dy 0.148 0.748 0.003
Dy3 Dy 0.250 0.248 0.004
Th1 Th 0.000 0.000 0.750
Th2 Th 0.250 0.545 0.252
Sc1 Sc 0.136 0.047 0.251


(3)
# Dy2Th2Sc5 (GGA-PBE, relaxed)
# * E above lowest polymorph: 38 meV per atom
# * total magnetization: 0.00 μB/cell
# * D(E_F): 54.14 states/eV/cell
data_Dy2Th2Sc5
_cell_length_a 14.642
_cell_length_b 8.349
_cell_length_c 8.529
_cell_angle_alpha 90.00
_cell_angle_beta 90.00
_cell_angle_gamma 90.00
_space_group_name_H-M_alt 'I m a 2'
_space_group_IT_number 46
_space_group_name_Hall 'I 2 -2a'
loop_
_atom_site_label
_atom_site_type_symbol
_atom_site_fract_x
_atom_site_fract_y
_atom_site_fract_z
Dy1 Dy 0.126 0.006 0.000
Th1 Th 0.000 0.000 0.645
Th2 Th 0.250 0.510 0.148
Sc1 Sc 0.050 0.168 0.316
Sc2 Sc 0.149 0.666 0.835
Sc3 Sc 0.250 0.170 0.313


(4)
# DyTh7Sc3 (GGA-PBE, relaxed)
# * raw total energy: -73.6 eV for the cell shown
# * total magnetization: 0.00 μB/cell
# * D(E_F): 17.38 states/eV/cell
data_DyTh7Sc3
_cell_length_a 6.602
_cell_length_b 5.396
_cell_length_c 9.963
_cell_angle_alpha 90.00
_cell_angle_beta 104.41
_cell_angle_gamma 90.00
_space_group_name_H-M_alt 'P 1 2/m 1'
_space_group_IT_number 10
_space_group_name_Hall '-P 2y'
loop_
_atom_site_label
_atom_site_type_symbol
_atom_site_fract_x
_atom_site_fract_y
_atom_site_fract_z
Dy1 Dy 0.000 0.000 0.000
Th1 Th 0.000 0.000 0.500
Th2 Th 0.174 0.500 0.779
Th3 Th 0.297 0.500 0.123
Th4 Th 0.452 0.000 0.330
Sc1 Sc 0.267 0.500 0.476
Sc2 Sc 0.500 0.000 0.000


(5)
# Dy6ThSc (GGA-PBE, relaxed)
# * E above lowest polymorph: 0 meV per atom
# * total magnetization: 0.00 μB/cell
# * D(E_F): 13.90 states/eV/cell
data_Dy6ThSc
_cell_length_a 4.990
_cell_length_b 4.990
_cell_length_c 9.867
_cell_angle_alpha 90.00
_cell_angle_beta 90.00
_cell_angle_gamma 90.00
_space_group_name_H-M_alt 'P 4/m m m'
_space_group_IT_number 123
_space_group_name_Hall '-P 4 2'
loop_
_atom_site_label
_atom_site_type_symbol
_atom_site_fract_x
_atom_site_fract_y
_atom_site_fract_z
Dy1 Dy 0.000 0.000 0.000
Dy2 Dy 0.000 0.000 0.500
Dy3 Dy 0.000 0.500 0.247
Th1 Th 0.500 0.500 0.500
Sc1 Sc 0.500 0.500 0.000


(6)
# Dy12ThSc7 (GGA-PBE, relaxed)
# * raw total energy: -304.6 eV for the cell shown
# * total magnetization: 0.00 μB/cell
# * D(E_F): 93.86 states/eV/cell
data_Dy12ThSc7
_cell_length_a 16.1519
_cell_length_b 16.1519
_cell_length_c 7.8930
_cell_angle_alpha 90.00
_cell_angle_beta 90.00
_cell_angle_gamma 120.00
_space_group_name_H-M_alt 'R -3 m'
_space_group_IT_number 166
_space_group_name_Hall '-R 3 2"'
loop_
_atom_site_label
_atom_site_type_symbol
_atom_site_fract_x
_atom_site_fract_y
_atom_site_fract_z
Dy1 Dy 0.0000 0.2837 0.0000
Dy2 Dy 0.1102 0.2203 0.3068
Th1 Th 0.0000 0.0000 0.0000
Sc1 Sc 0.0000 0.0000 0.5000
Sc2 Sc 0.1110 0.2221 0.7316


- Which of these has the highest D(E_F)?
  Dy12ThSc7


- What is the total magnetization in the second record?
  0.00 μB/cell


Please write out number 5 again, unchanged.
# Dy6ThSc (GGA-PBE, relaxed)
# * E above lowest polymorph: 0 meV per atom
# * total magnetization: 0.00 μB/cell
# * D(E_F): 13.90 states/eV/cell
data_Dy6ThSc
_cell_length_a 4.990
_cell_length_b 4.990
_cell_length_c 9.867
_cell_angle_alpha 90.00
_cell_angle_beta 90.00
_cell_angle_gamma 90.00
_space_group_name_H-M_alt 'P 4/m m m'
_space_group_IT_number 123
_space_group_name_Hall '-P 4 2'
loop_
_atom_site_label
_atom_site_type_symbol
_atom_site_fract_x
_atom_site_fract_y
_atom_site_fract_z
Dy1 Dy 0.000 0.000 0.000
Dy2 Dy 0.000 0.000 0.500
Dy3 Dy 0.000 0.500 0.247
Th1 Th 0.500 0.500 0.500
Sc1 Sc 0.500 0.500 0.000